A relaxed structure of RbHgAu3. Source: the Alexandria database, functional PBE.

Lattice parameters (Å, degrees): 5.391 5.391 5.391 90.00 90.00 90.00
Atoms (fractional coordinates):
1 Rb 0.000 0.000 0.000
2 Hg 0.500 0.500 0.500
3 Au 0.000 0.500 0.500
4 Au 0.500 0.000 0.500
5 Au 0.500 0.500 0.000

## Properties
V: 156.7 Å³ per cell
D(E_F): 1.12 states/eV/cell
Energy: -2.137 eV per atom
Energy of formation: 83 meV/atom
Distance to the lowest polymorph of the same formula: 233 meV per atom


A relaxed structure of RbHg6Au2. Source: the Alexandria database, functional PBE.

Lattice parameters (Å, degrees): 4.995 4.995 10.370 90.00 90.00 90.00
Atoms (fractional coordinates):
1 Rb 0.000 0.000 0.000
2 Hg 0.000 0.000 0.500
3 Hg 0.000 0.500 0.281
4 Hg 0.000 0.500 0.719
5 Hg 0.500 0.000 0.281
6 Hg 0.500 0.000 0.719
7 Hg 0.500 0.500 0.500
8 Au 0.500 0.500 0.130
9 Au 0.500 0.500 0.870

## Properties
V: 258.7 Å³ per cell
D(E_F): 2.25 states/eV/cell
Energy: -1.133 eV per atom
Energy of formation: -96 meV/atom
Distance to the lowest polymorph of the same formula: 0 meV per atom


A relaxed structure of Rb2HgAu. Source: the Alexandria database, functional PBE.

Lattice parameters (Å, degrees): 9.269 9.269 9.269 31.24 31.24 31.24
Atoms (fractional coordinates):
1 Rb 0.000 0.000 0.000
2 Rb 0.188 0.188 0.188
3 Hg 0.758 0.758 0.758
4 Au 0.596 0.596 0.596

## Properties
V: 190.1 Å³ per cell
D(E_F): 2.88 states/eV/cell
Energy: -1.570 eV per atom
Energy of formation: -191 meV/atom


A relaxed structure of RbHg11Au5. Source: the Alexandria database, functional PBE.

Lattice parameters (Å, degrees): 8.035 8.035 7.686 94.68 94.68 105.43
Atoms (fractional coordinates):
1 Rb 0.000 0.000 0.000
2 Hg 0.000 0.000 0.500
3 Hg 0.125 0.680 0.671
4 Hg 0.175 0.501 0.092
5 Hg 0.320 0.875 0.329
6 Hg 0.396 0.396 0.614
7 Hg 0.499 0.825 0.908
8 Hg 0.501 0.175 0.092
9 Hg 0.604 0.604 0.386
10 Hg 0.680 0.125 0.671
11 Hg 0.825 0.499 0.908
12 Hg 0.875 0.320 0.329
13 Au 0.036 0.324 0.698
14 Au 0.324 0.036 0.698
15 Au 0.500 0.500 0.000
16 Au 0.676 0.964 0.302
17 Au 0.964 0.676 0.302

## Properties
V: 474.0 Å³ per cell
D(E_F): 4.43 states/eV/cell
Energy: -1.214 eV per atom
Energy of formation: 3 meV/atom


A relaxed structure of Rb2Hg3Au5. Source: the Alexandria database, functional PBE.

Lattice parameters (Å, degrees): 9.595 9.595 9.595 108.34 87.09 137.40
Atoms (fractional coordinates):
1 Rb 0.140 0.231 0.370
2 Rb 0.360 0.731 0.091
3 Rb 0.640 0.269 0.909
4 Rb 0.860 0.769 0.630
5 Hg 0.103 0.668 0.771
6 Hg 0.250 0.250 0.000
7 Hg 0.397 0.168 0.565
8 Hg 0.603 0.832 0.435
9 Hg 0.750 0.750 0.000
10 Hg 0.897 0.332 0.229
11 Au 0.045 0.750 0.295
12 Au 0.152 0.912 0.063
13 Au 0.250 0.750 0.500
14 Au 0.348 0.412 0.760
15 Au 0.455 0.750 0.705
16 Au 0.545 0.250 0.295
17 Au 0.652 0.588 0.240
18 Au 0.750 0.250 0.500
19 Au 0.848 0.088 0.937
20 Au 0.955 0.250 0.705

## Properties
V: 544.6 Å³ per cell
D(E_F): 5.01 states/eV/cell
Energy: -2.085 eV per atom
Energy of formation: -163 meV/atom


A relaxed structure of Rb2HgAu2. Source: the Alexandria database, functional PBE.

Lattice parameters (Å, degrees): 9.673 9.673 4.239 90.00 90.00 90.00
Atoms (fractional coordinates):
1 Rb 0.149 0.351 0.000
2 Rb 0.351 0.851 0.000
3 Rb 0.649 0.149 0.000
4 Rb 0.851 0.649 0.000
5 Hg 0.000 0.000 0.000
6 Hg 0.500 0.500 0.000
7 Au 0.145 0.645 0.500
8 Au 0.355 0.145 0.500
9 Au 0.645 0.855 0.500
10 Au 0.855 0.355 0.500

## Properties
V: 396.6 Å³ per cell
D(E_F): 0.00 states/eV/cell
Energy: -1.930 eV per atom
Energy of formation: -171 meV/atom
Distance to the lowest polymorph of the same formula: 94 meV per atom


A relaxed structure of Rb8HgAu3. Source: the Alexandria database, functional PBE.

Lattice parameters (Å, degrees): 10.058 10.058 16.387 90.00 90.00 120.00
Atoms (fractional coordinates):
1 Rb 0.000 0.000 0.000
2 Rb 0.000 0.000 0.500
3 Rb 0.010 0.505 0.494
4 Rb 0.160 0.321 0.257
5 Rb 0.160 0.840 0.257
6 Rb 0.321 0.160 0.757
7 Rb 0.333 0.667 0.767
8 Rb 0.495 0.505 0.494
9 Rb 0.495 0.990 0.494
10 Rb 0.505 0.010 0.994
11 Rb 0.505 0.495 0.994
12 Rb 0.667 0.333 0.267
13 Rb 0.679 0.840 0.257
14 Rb 0.840 0.160 0.757
15 Rb 0.840 0.679 0.757
16 Rb 0.990 0.495 0.994
17 Hg 0.333 0.667 0.120
18 Hg 0.667 0.333 0.620
19 Au 0.164 0.329 0.883
20 Au 0.164 0.836 0.883
21 Au 0.329 0.164 0.383
22 Au 0.671 0.836 0.883
23 Au 0.836 0.164 0.383
24 Au 0.836 0.671 0.383

## Properties
V: 1435.6 Å³ per cell
D(E_F): 18.85 states/eV/cell
Energy: -1.647 eV per atom
Energy of formation: -158 meV/atom


A relaxed structure of Rb4HgAu3. Source: the Alexandria database, functional PBE.

Lattice parameters (Å, degrees): 4.942 4.980 12.732 90.00 90.00 90.00
Atoms (fractional coordinates):
1 Rb 0.000 0.000 0.000
2 Rb 0.000 0.500 0.265
3 Rb 0.500 0.000 0.475
4 Rb 0.500 0.500 0.778
5 Hg 0.000 0.000 0.691
6 Au 0.000 0.500 0.565
7 Au 0.500 0.000 0.195
8 Au 0.500 0.500 0.064

## Properties
V: 313.4 Å³ per cell
D(E_F): 2.59 states/eV/cell
Energy: -2.041 eV per atom
Energy of formation: -291 meV/atom


A relaxed structure of Rb3HgAu. Source: the Alexandria database, functional PBE.

Lattice parameters (Å, degrees): 9.437 4.759 12.138 90.00 90.00 90.00
Atoms (fractional coordinates):
1 Rb 0.000 0.000 0.178
2 Rb 0.000 0.000 0.822
3 Rb 0.250 0.500 0.487
4 Rb 0.500 0.000 0.178
5 Rb 0.500 0.000 0.822
6 Rb 0.750 0.500 0.513
7 Hg 0.250 0.500 0.005
8 Hg 0.750 0.500 0.995
9 Au 0.250 0.500 0.765
10 Au 0.750 0.500 0.235

## Properties
V: 545.1 Å³ per cell
D(E_F): 4.00 states/eV/cell
Energy: -1.484 eV per atom
Energy of formation: -187 meV/atom
Distance to the lowest polymorph of the same formula: 40 meV per atom


A relaxed structure of Rb8HgAu5. Source: the Alexandria database, functional PBE.

Lattice parameters (Å, degrees): 9.193 9.193 9.193 109.41 109.41 109.59
Atoms (fractional coordinates):
1 Rb 0.014 0.622 0.756
2 Rb 0.227 0.470 0.092
3 Rb 0.378 0.134 0.392
4 Rb 0.379 0.135 0.908
5 Rb 0.530 0.621 0.757
6 Rb 0.742 0.986 0.608
7 Rb 0.865 0.773 0.243
8 Rb 0.866 0.258 0.244
9 Hg 0.250 0.750 0.500
10 Au 0.000 0.000 0.000
11 Au 0.129 0.252 0.623
12 Au 0.494 0.871 0.122
13 Au 0.628 0.506 0.377
14 Au 0.748 0.372 0.878

## Properties
V: 598.1 Å³ per cell
D(E_F): 10.04 states/eV/cell
Energy: -1.973 eV per atom
Energy of formation: -228 meV/atom


A relaxed structure of RbHgAu3. Source: the Alexandria database, functional PBE.

Lattice parameters (Å, degrees): 6.310 6.310 6.310 90.00 90.00 90.00
Atoms (fractional coordinates):
1 Rb 0.000 0.000 0.000
2 Hg 0.500 0.500 0.500
3 Au 0.000 0.000 0.500
4 Au 0.000 0.500 0.000
5 Au 0.500 0.000 0.000

## Properties
V: 251.3 Å³ per cell
D(E_F): 1.86 states/eV/cell
Energy: -1.150 eV per atom
Energy of formation: 1071 meV/atom
Distance to the lowest polymorph of the same formula: 1220 meV per atom


A relaxed structure of Rb12Hg3Au5. Source: the Alexandria database, functional PBE.

Lattice parameters (Å, degrees): 18.285 18.285 18.285 109.47 109.47 109.47
Atoms (fractional coordinates):
1 Rb 0.042 0.215 0.125
2 Rb 0.042 0.326 0.917
3 Rb 0.083 0.625 0.410
4 Rb 0.083 0.958 0.674
5 Rb 0.090 0.715 0.674
6 Rb 0.090 0.875 0.417
7 Rb 0.125 0.042 0.215
8 Rb 0.125 0.583 0.910
9 Rb 0.174 0.215 0.590
10 Rb 0.174 0.458 0.583
11 Rb 0.215 0.125 0.042
12 Rb 0.215 0.590 0.174
13 Rb 0.285 0.326 0.910
14 Rb 0.285 0.458 0.375
15 Rb 0.326 0.910 0.285
16 Rb 0.326 0.917 0.042
17 Rb 0.375 0.285 0.458
18 Rb 0.375 0.590 0.917
19 Rb 0.410 0.083 0.625
20 Rb 0.410 0.826 0.785
21 Rb 0.417 0.090 0.875
22 Rb 0.417 0.826 0.542
23 Rb 0.458 0.375 0.285
24 Rb 0.458 0.583 0.174
25 Rb 0.542 0.417 0.826
26 Rb 0.542 0.625 0.715
27 Rb 0.583 0.174 0.458
28 Rb 0.583 0.910 0.125
29 Rb 0.590 0.174 0.215
30 Rb 0.590 0.917 0.375
31 Rb 0.625 0.410 0.083
32 Rb 0.625 0.715 0.542
33 Rb 0.674 0.083 0.958
34 Rb 0.674 0.090 0.715
35 Rb 0.715 0.542 0.625
36 Rb 0.715 0.674 0.090
37 Rb 0.785 0.410 0.826
38 Rb 0.785 0.875 0.958
39 Rb 0.826 0.542 0.417
40 Rb 0.826 0.785 0.410
41 Rb 0.875 0.417 0.090
42 Rb 0.875 0.958 0.785
43 Rb 0.910 0.125 0.583
44 Rb 0.910 0.285 0.326
45 Rb 0.917 0.042 0.326
46 Rb 0.917 0.375 0.590
47 Rb 0.958 0.674 0.083
48 Rb 0.958 0.785 0.875
49 Hg 0.125 0.250 0.375
50 Hg 0.125 0.375 0.750
51 Hg 0.250 0.375 0.125
52 Hg 0.250 0.875 0.625
53 Hg 0.375 0.125 0.250
54 Hg 0.375 0.750 0.125
55 Hg 0.625 0.250 0.875
56 Hg 0.625 0.875 0.750
57 Hg 0.750 0.125 0.375
58 Hg 0.750 0.625 0.875
59 Hg 0.875 0.625 0.250
60 Hg 0.875 0.750 0.625
61 Au 0.000 0.000 0.000
62 Au 0.000 0.000 0.500
63 Au 0.000 0.500 0.000
64 Au 0.000 0.500 0.500
65 Au 0.125 0.750 0.875
66 Au 0.125 0.875 0.250
67 Au 0.250 0.125 0.875
68 Au 0.250 0.625 0.375
69 Au 0.375 0.250 0.625
70 Au 0.375 0.625 0.750
71 Au 0.500 0.000 0.000
72 Au 0.500 0.000 0.500
73 Au 0.500 0.500 0.000
74 Au 0.500 0.500 0.500
75 Au 0.625 0.375 0.250
76 Au 0.625 0.750 0.375
77 Au 0.750 0.375 0.625
78 Au 0.750 0.875 0.125
79 Au 0.875 0.125 0.750
80 Au 0.875 0.250 0.125

## Properties
V: 4706.2 Å³ per cell
D(E_F): 82.31 states/eV/cell
Energy: -1.554 eV per atom
Energy of formation: -108 meV/atom